[1]
Computed, not measured: a relaxed SiWSe3 crystal at the GGA-PBEsol level of DFT.

Structure (POSCAR):
```
SiWSe3
1.0
-4.319 1.253 -1.176
0.589 -1.908 -4.198
-1.614 -4.050 1.614
Si Se W
1 3 1
Cartesian
0.000 0.000 0.000
-0.807 -2.025 0.807
-2.160 0.627 -0.588
0.295 -0.954 -2.099
-2.672 -2.352 -1.880
```

Properties
E: -25.7 eV/cell
Symmetry: Pm-3m, No. 221



[2]
Computed, not measured: a relaxed InCu2Tc crystal at the GGA-PBEsol level of DFT.

Structure (POSCAR):
```
InCu2Tc
1.0
-1.848 -1.977 -0.123
2.884 -2.764 1.087
-0.198 1.734 4.935
Cu Tc In
2 1 1
Cartesian
0.101 -2.093 2.295
-1.624 -0.523 2.978
0.508 -0.761 4.599
-0.153 0.101 0.662
```

Properties
Energy relative to the elements: 276 meV/atom
Symmetry: Amm2, No. 38



[3]
Computed, not measured: a relaxed IrC2F crystal at the GGA-PBEsol level of DFT.

Structure (POSCAR):
```
IrC2F
1.0
3.705 0.000 0.000
1.853 3.209 0.000
1.853 1.070 3.025
C F Ir
2 1 1
Cartesian
5.558 3.209 2.269
1.853 1.070 0.756
0.000 0.000 0.000
3.705 2.139 1.513
```

Properties
E: -23.3 eV/cell
Symmetry: Fm-3m, No. 225



Number 3 is which compound? IrC2F